(1)
Np3Ga12Tc PBE-GGA optimized geometry; total DFT energy (no corrections) = -88.0 eV for the cell shown; calculated formation energy = -154 meV per atom; volume = 18.29 A^3/atom; DOS(E_F) = 27.8 states/eV/f.u.; space-group type = P4/mmm
1.0
4.2290 0.0001 -0.0787
-0.0001 4.2295 0.0000
0.3086 -0.0001 16.3527
Ga Np Tc
12 3 1
Cartesian
2.2687 2.1147 8.1370 Ga
4.3410 2.1148 5.9352 Ga
2.1145 2.1148 -0.0393 Ga
2.2268 4.2295 5.9745 Ga
2.3509 2.1147 12.4018 Ga
2.1866 2.1148 3.8722 Ga
2.3912 -0.0001 14.5745 Ga
0.1965 2.1147 10.3389 Ga
0.2764 2.1147 14.6139 Ga
2.3107 0.0000 10.2995 Ga
4.2610 2.1148 1.6601 Ga
2.1462 4.2296 1.6995 Ga
4.3000 4.2296 3.7562 Np
0.1543 -0.0001 8.1764 Np
0.2375 -0.0001 12.5178 Np
0.0000 0.0000 0.0000 Tc

(2)
Ca4GeRh PBE-GGA optimized geometry; total DFT energy (no corrections) = -45.5 eV for the cell shown; calculated formation energy = -462 meV per atom; volume = 28.60 A^3/atom; DOS(E_F) = 3.6 states/eV/f.u.; space-group type = C2/c
1.0
6.1600 -0.3763 -1.6308
-2.7674 7.2166 -2.7971
-0.3207 -0.4042 8.2034
Ca Ge Rh
8 2 2
Cartesian
0.2990 2.3676 0.5884 Ca
2.4731 1.5322 5.9893 Ca
0.5988 4.9039 -2.2138 Ca
-0.5937 5.1493 2.7141 Ca
3.6656 1.2868 1.0614 Ca
5.2721 -0.2469 4.1343 Ca
2.7728 4.0685 3.1871 Ca
-2.2002 6.6830 -0.3588 Ca
2.7397 4.1712 -0.0316 Ge
0.3322 2.2649 3.8072 Ge
-1.2193 7.0974 -3.1685 Rh
4.2912 -0.6612 6.9440 Rh

(3)
Y5Cd PBE-GGA optimized geometry; total DFT energy (no corrections) = -33.8 eV for the cell shown; calculated formation energy = -98 meV per atom; volume = 30.54 A^3/atom; DOS(E_F) = 9.1 states/eV/f.u.; energy above the lowest structure with this stoichiometry = 0 meV per atom; space-group type = P4/mmm
1.0
3.5925 0.0000 0.0000
0.0000 3.5925 0.0000
0.0000 0.0000 14.1966
Cd Y
1 5
Cartesian
1.7962 1.7962 11.8305 Cd
0.0000 0.0000 9.7791 Y
0.0000 0.0000 13.8818 Y
1.7962 1.7962 2.2161 Y
0.0000 0.0000 4.7322 Y
1.7962 1.7962 7.2483 Y